Material: Y2MnCd
Method: DFT, GGA-PBE
State: relaxed

## Properties
Total DFT energy (no corrections): -0.213 hartree per atom
Crystal system: tetragonal
Polymorph energy (0 for the lowest one): 53.0 meV per atom
Formation energy: -0.0315 eV/atom

Structure (POSCAR):
```
Y2MnCd
1.0
-0.3702 6.5636 4.9019
-2.9023 -1.1671 -4.1310
-3.0452 0.3764 2.0352
Cd Y Mn
1 2 1
Cartesian
-2.9737 -0.3953 -1.0479
-1.7077 3.4700 3.4686
0.0000 0.0000 0.0000
-1.6362 2.6982 0.3854
```


Material: Y2MnCd
Method: DFT, GGA-PBE
State: relaxed

## Properties
Total DFT energy (no corrections): -0.205 hartree per atom
Crystal system: cubic
Polymorph energy (0 for the lowest one): 250.6 meV per atom
Formation energy: 0.1662 eV/atom

Structure (POSCAR):
```
Y2MnCd
1.0
0.0000 3.5577 3.5577
3.5577 0.0000 3.5577
3.5577 3.5577 0.0000
Mn Y Cd
1 2 1
Cartesian
0.0000 0.0000 0.0000
1.7789 1.7789 1.7789
5.3366 5.3366 5.3366
3.5577 3.5577 3.5577
```